Record 1
SnPd2Rh: optimized geometry, PBE-GGA.

Cell lengths 3.9721, 3.9508, 8.4078 Å; angles 94.43, 90.00, 90.00 degrees
Closest atoms and distances in Å follow each position.
Atoms (fractional coordinates):
Sn1 0.7500 0.9484 0.6531  5 Rh 2.65-2.86, 4 Pd 2.72-2.75
Sn2 0.2500 0.0516 0.3469  5 Rh 2.65-2.86, 4 Pd 2.72-2.75
Pd1 0.7500 0.4804 0.8795  2 Sn 2.72-2.75, 8 Pd 2.79-2.83, 2 Rh 2.93
Pd2 0.2500 0.5196 0.1205  2 Sn 2.72-2.75, 8 Pd 2.79-2.83, 2 Rh 2.93
Pd3 0.2500 0.9773 0.8795  2 Sn 2.75, 8 Pd 2.79-2.83, 2 Rh 2.90-2.94
Pd4 0.7500 0.0227 0.1205  2 Sn 2.75, 8 Pd 2.79-2.83, 2 Rh 2.90-2.94
Rh1 0.2500 0.4276 0.6224  5 Sn 2.65-2.86, 4 Pd 2.90-2.94, 2 Rh 2.95
Rh2 0.7500 0.5724 0.3776  5 Sn 2.65-2.86, 4 Pd 2.90-2.94, 2 Rh 2.95

- Formation enthalpy at 0 K: -314 meV per atom
- Crystal system: monoclinic
- Space-group type: P2_1/m, No. 11

***

Record 2
Sn6PdRh: optimized geometry, PBE-GGA.

Cell lengths 7.0855, 7.0859, 7.9639 Å; angles 55.93, 55.92, 37.68 degrees
Closest atoms and distances in Å follow each position.
Atoms (fractional coordinates):
Sn1 0.2488 0.2530 0.7579  1 Rh 2.69, 1 Pd 2.71
Sn2 0.9116 0.9134 0.7518  2 Rh 2.80, 1 Pd 2.83, 1 Sn 3.13
Sn3 0.4053 0.4037 0.2659  1 Rh 2.82, 2 Pd 2.85-2.86
Sn4 0.0884 0.0866 0.2482  2 Rh 2.80, 1 Pd 2.83, 1 Sn 3.13
Sn5 0.7512 0.7470 0.2421  1 Rh 2.69, 1 Pd 2.71
Sn6 0.5947 0.5963 0.7341  1 Rh 2.82, 2 Pd 2.85-2.86
Pd1 0.0000 0.0000 0.0000  8 Sn 2.71-2.86
Rh1 0.5000 0.5000 0.5000  8 Sn 2.69-2.82

- Formation enthalpy at 0 K: -243 meV per atom
- Crystal system: triclinic
- Space-group type: P-1, No. 2